Computed, not measured: a relaxed LiMgSn crystal at the PBE-GGA level of DFT.

Cell lengths 4.6857, 4.6857, 3.3923 Å; angles 90.00, 90.00, 120.00 degrees
Last column: nearest neighbours and their distance in Å.
Space group P3m1 (No. 156)
Symmetry-distinct sites (fractional):
Li1 0.0000 0.0000 0.0000 [1 per cell]  3 Sn 2.77, 3 Mg 3.06
Mg1 0.6667 0.3333 0.5764 [1 per cell]  6 Sn 3.03-3.38, 6 Li 3.06-3.34, 2 Mg 3.39
Sn1 0.3333 0.6667 0.1746 [1 per cell]  3 Li 2.77, 3 Mg 3.03

Summary:
Density of states at the Fermi level, states/eV per atom: 0.247
M_tot, μB/atom: 0.00
Total energy, eV per atom: -2.710
Energy of formation from the pure elements, eV/atom: -0.206